Here is Cs2KTa2O7 after structural relaxation from Alexandria. Energies are from PBE.

Output
For the spin magnetization, the calculation gives 0.07 μB per atom. For the uncorrected energy, the calculation gives -89.14 eV per cell. The density of states at the Fermi level is 6.29 states/eV/cell. The volume is 203.9 Å³/f.u.

abc: 4.0652 4.0652 12.6700
angles: 80.76 80.76 90.00
With the nearest neighbours (Å) after each atom.
Element x y z (fractional)
O 0.9185 0.4185 0.1629  2 Ta 2.03-2.04
O 0.6616 0.6616 0.6769  1 Ta 1.90
Ta 0.4155 0.4155 0.1694  6 O 1.90-2.09
Cs 0.1877 0.1877 0.6249  4 O 2.94-2.95
O 0.4185 0.9185 0.1629  2 Ta 2.03-2.04
Ta 0.5845 0.5845 0.8306  6 O 1.90-2.09
O 0.5000 0.5000 0.0000  2 Ta 2.09
O 0.0815 0.5815 0.8371  2 Ta 2.03-2.04
K 0.0000 0.0000 0.0000  12 O 2.86-2.87
O 0.3384 0.3384 0.3231  1 Ta 1.90
Cs 0.8123 0.8123 0.3751  4 O 2.94-2.95
O 0.5815 0.0815 0.8371  2 Ta 2.03-2.04

***

Here is HoPu5 after structural relaxation from Alexandria. Energies are from PBE.

Output
For the spin magnetization, the calculation gives 0.85 μB per atom. For the uncorrected energy, the calculation gives -74.68 eV per cell. The density of states at the Fermi level is 25.87 states/eV/cell. The volume is 148.7 Å³/f.u. Its energy of formation is 0.260 eV per atom.

abc: 5.3071 5.4548 5.8149
angles: 117.97 90.00 90.00
With the nearest neighbours (Å) after each atom.
Element x y z (fractional)
Pu 0.5000 0.8066 0.6132  5 Pu 2.96-3.15, 2 Ho 3.31
Pu 0.0000 0.3344 0.6688  6 Pu 3.02-3.23, 2 Ho 3.21
Ho 0.0000 0.0000 0.0000  10 Pu 3.21-3.43
Pu 0.5000 0.5000 0.0000  10 Pu 3.15-3.37
Pu 0.5000 0.1934 0.3868  5 Pu 2.96-3.15, 2 Ho 3.31
Pu 0.0000 0.6656 0.3312  6 Pu 3.02-3.23, 2 Ho 3.21

***

Here is IrRh2Br after structural relaxation from Alexandria. Energies are from PBE.

Output
The energy above the lowest structure with this stoichiometry comes out at 0.277 eV per atom. For the spin magnetization, the calculation gives 0.00 μB per atom. For the uncorrected energy, the calculation gives -22.62 eV per cell. The density of states at the Fermi level is 5.01 states/eV/cell. The volume is 64.0 Å³/f.u.

abc: 4.8352 4.8352 4.9005
angles: 77.77 77.77 34.94
With the nearest neighbours (Å) after each atom.
Element x y z (fractional)
Rh 0.9830 0.9830 0.0033  3 Ir 2.65-2.83, 2 Br 2.70, 5 Rh 2.75-2.90
Br 0.5276 0.5276 0.5281  3 Rh 2.49-2.70, 2 Ir 2.66
Ir 0.2442 0.2442 0.2176  5 Rh 2.65-2.83, 2 Br 2.66, 2 Ir 2.90
Rh 0.7452 0.7452 0.7511  1 Br 2.49, 2 Ir 2.71, 1 Rh 2.75

***

Here is CdTeRh2 after structural relaxation from Alexandria. Energies are from PBE.

Output
The energy above the lowest structure with this stoichiometry comes out at 0.057 eV per atom. For the spin magnetization, the calculation gives 0.00 μB per atom. For the uncorrected energy, the calculation gives -18.91 eV per cell. The density of states at the Fermi level is 5.51 states/eV/cell. The volume is 70.1 Å³/f.u.

abc: 4.6290 4.6290 4.6290
angles: 60.00 60.00 60.00
With the nearest neighbours (Å) after each atom.
Element x y z (fractional)
Te 0.5000 0.5000 0.5000  8 Rh 2.83
Cd 0.0000 0.0000 0.0000  8 Rh 2.83
Rh 0.7500 0.7500 0.7500  4 Te 2.83, 4 Cd 2.83
Rh 0.2500 0.2500 0.2500  4 Te 2.83, 4 Cd 2.83

***

Here is NbCoP3 after structural relaxation from Alexandria. Energies are from PBE.

Output
The energy above the lowest structure with this stoichiometry comes out at 0.382 eV per atom. For the spin magnetization, the calculation gives 0.48 μB per atom. For the uncorrected energy, the calculation gives -28.83 eV per cell. The density of states at the Fermi level is 6.95 states/eV/cell. The volume is 109.4 Å³/f.u. Its energy of formation is 0.916 eV per atom.

abc: 4.7828 4.7828 4.7828
angles: 90.00 90.00 90.00
With the nearest neighbours (Å) after each atom.
Element x y z (fractional)
P 0.0000 0.0000 0.5000  2 Nb 2.39
P 0.5000 0.0000 0.0000  2 Nb 2.39
Nb 0.0000 0.0000 0.0000  6 P 2.39
P 0.0000 0.5000 0.0000  2 Nb 2.39
Co 0.5000 0.5000 0.5000  12 P 3.38

***

Here is Np2TaCoN5 after structural relaxation from Alexandria. Energies are from PBE.

Output
For the spin magnetization, the calculation gives 0.58 μB per atom. For the uncorrected energy, the calculation gives -188.59 eV per cell. The density of states at the Fermi level is 18.23 states/eV/cell. The volume is 102.3 Å³/f.u.

abc: 3.1830 6.5706 10.0800
angles: 90.00 90.00 104.02
With the nearest neighbours (Å) after each atom.
Element x y z (fractional)
N 0.9523 0.9046 0.5687  2 Co 1.97, 1 Ta 2.02
N 0.3220 0.6439 0.3695  2 Ta 2.15, 1 Co 2.17, 1 Np 2.37
N 0.7174 0.4349 0.1562  2 Ta 2.18, 3 Np 2.30-2.40
Co 0.4772 0.9544 0.4573  4 N 1.89-2.03
N 0.0477 0.0954 0.0687  2 Co 1.97, 1 Ta 2.02
Ta 0.1991 0.3982 0.0108  6 N 2.02-2.18
N 0.2826 0.5651 0.6562  2 Ta 2.18, 3 Np 2.30-2.40
N 0.6780 0.3561 0.8695  2 Ta 2.15, 1 Co 2.17, 1 Np 2.37
Np 0.1428 0.2856 0.3072  7 N 2.31-2.49
N 0.4860 0.9721 0.7753  1 Co 1.89
Np 0.8572 0.7144 0.8072  7 N 2.31-2.49
Ta 0.8009 0.6018 0.5108  6 N 2.02-2.18
N 0.6333 0.2667 0.4963  1 Co 2.03, 1 Ta 2.14
N 0.3667 0.7333 0.9963  1 Co 2.03, 1 Ta 2.14
N 0.5140 0.0279 0.2753  1 Co 1.89
Co 0.5228 0.0456 0.9573  4 N 1.89-2.03
Np 0.1034 0.2068 0.6827  6 N 2.24-2.49
Np 0.8966 0.7932 0.1827  6 N 2.24-2.49

***

Here is Pr2SmCrN4 after structural relaxation from Alexandria. Energies are from PBE.

Output
For the spin magnetization, the calculation gives 0.26 μB per atom. For the uncorrected energy, the calculation gives -130.04 eV per cell. The density of states at the Fermi level is 6.39 states/eV/cell. The volume is 127.0 Å³/f.u.

abc: 3.4856 6.1758 12.2983
angles: 90.00 90.00 106.39
With the nearest neighbours (Å) after each atom.
Element x y z (fractional)
Pr 0.3669 0.7339 0.5425  6 N 2.41-2.69
Sm 0.1105 0.2210 0.7500  6 N 2.60-2.91
N 0.7265 0.4531 0.6402  1 Cr 1.85
N 0.5860 0.1720 0.2500  2 Cr 1.99
Cr 0.1664 0.3328 0.2500  4 N 1.85-1.99
N 0.0000 0.0000 0.5000  4 Pr 2.41
Pr 0.3669 0.7339 0.9575  6 N 2.41-2.69
N 0.2735 0.5469 0.3598  1 Cr 1.85
Cr 0.8336 0.6672 0.7500  4 N 1.85-1.99
Sm 0.8895 0.7790 0.2500  6 N 2.60-2.91
N 0.4140 0.8280 0.7500  2 Cr 1.99
N 0.0000 0.0000 0.0000  4 Pr 2.41
Pr 0.6331 0.2661 0.4575  6 N 2.41-2.69
N 0.7265 0.4531 0.8598  1 Cr 1.85
N 0.2735 0.5469 0.1402  1 Cr 1.85
Pr 0.6331 0.2661 0.0425  6 N 2.41-2.69

***

Here is Zn2GeO4 after structural relaxation from Alexandria. Energies are from PBE.

Output
The energy above the lowest structure with this stoichiometry comes out at 0.023 eV per atom. For the spin magnetization, the calculation gives 0.00 μB per atom. For the uncorrected energy, the calculation gives -151.20 eV per cell. The volume is 76.3 Å³/f.u.

abc: 6.0213 6.0213 8.4168
angles: 90.00 90.00 90.00
With the nearest neighbours (Å) after each atom.
Element x y z (fractional)
O 0.2291 0.5323 0.4968  1 Ge 1.89, 2 Zn 2.00-2.07
O 0.5323 0.2291 0.2532  1 Ge 1.89, 2 Zn 2.00-2.07
O 0.7709 0.4677 0.9968  1 Ge 1.89, 2 Zn 2.00-2.07
Ge 0.7469 0.0000 0.2500  6 O 1.89-1.98
O 0.2291 0.4677 0.0032  1 Ge 1.89, 2 Zn 2.00-2.07
Zn 0.7518 0.2482 0.6250  4 O 2.00-2.02
O 0.7703 0.9813 0.4802  2 Ge 1.95-1.98, 2 Zn 2.02-2.18
Zn 0.2482 0.7518 0.1250  4 O 2.00-2.02
O 0.0187 0.2297 0.7698  2 Ge 1.95-1.98, 2 Zn 2.02-2.18
O 0.0187 0.7703 0.7302  2 Ge 1.95-1.98, 2 Zn 2.02-2.18
Zn 0.7427 0.5000 0.2500  6 O 2.07-2.18
O 0.5323 0.7709 0.2468  1 Ge 1.89, 2 Zn 2.00-2.07
Zn 0.5000 0.2573 0.0000  6 O 2.07-2.18
Ge 0.0000 0.7469 0.5000  6 O 1.89-1.98
O 0.9813 0.7703 0.2698  2 Ge 1.95-1.98, 2 Zn 2.02-2.18
O 0.2297 0.9813 0.5198  2 Ge 1.95-1.98, 2 Zn 2.02-2.18
Zn 0.2482 0.2482 0.3750  4 O 2.00-2.02
Zn 0.5000 0.7427 0.5000  6 O 2.07-2.18
O 0.2297 0.0187 0.9802  2 Ge 1.95-1.98, 2 Zn 2.02-2.18
O 0.4677 0.2291 0.7468  1 Ge 1.89, 2 Zn 2.00-2.07
O 0.7709 0.5323 0.5032  1 Ge 1.89, 2 Zn 2.00-2.07
O 0.9813 0.2297 0.2302  2 Ge 1.95-1.98, 2 Zn 2.02-2.18
Zn 0.7518 0.7518 0.8750  4 O 2.00-2.02
O 0.4677 0.7709 0.7532  1 Ge 1.89, 2 Zn 2.00-2.07
O 0.7703 0.0187 0.0198  2 Ge 1.95-1.98, 2 Zn 2.02-2.18
Ge 0.2531 0.0000 0.7500  6 O 1.89-1.98
Zn 0.2573 0.5000 0.7500  6 O 2.07-2.18
Ge 0.0000 0.2531 0.0000  6 O 1.89-1.98